CsCuS2: relaxed, PBE.

Calculated values
ΔE_f (raw), eV/atom: 0.54
D(E_F), states/eV/f.u.: 5.5

a = 7.2869 Å, b = 7.2869 Å, c = 7.2869 Å
α = 90.00°, β = 90.00°, γ = 90.00°
With the nearest neighbours (Å) after each atom.
Space group Fm-3m (No. 225)
Inequivalent atoms, fractional coordinates:
Cs (0.0000, 0.0000, 0.0000) [4 per cell]  8 S 3.16
Cu (0.0000, 0.0000, 0.5000) [4 per cell]  8 S 3.16
S (0.2500, 0.2500, 0.2500) [8 per cell]  4 Cu 3.16, 4 Cs 3.16


Ta2AgRh: relaxed, PBE.

Calculated values
Total DFT energy (no corrections), eV/atom: -8.27
D(E_F), states/eV/f.u.: 5.3

a = 6.4713 Å, b = 6.4713 Å, c = 6.4713 Å
α = 90.00°, β = 90.00°, γ = 90.00°
With the nearest neighbours (Å) after each atom.
Space group F-43m (No. 216)
Inequivalent atoms, fractional coordinates:
Ta (0.0000, 0.0000, 0.0000) [4 per cell]  4 Ta 2.80, 4 Rh 2.80
Ta (0.2500, 0.2500, 0.2500) [4 per cell]  4 Ta 2.80, 4 Ag 2.80
Ag (0.0000, 0.0000, 0.5000) [4 per cell]  4 Ta 2.80, 4 Rh 2.80
Rh (0.2500, 0.2500, 0.7500) [4 per cell]  4 Ta 2.80, 4 Ag 2.80


PtIBr2: relaxed, PBE.

Calculated values
ΔE_f (raw), eV/atom: 0.93
D(E_F), states/eV/f.u.: 7.6

a = 7.3276 Å, b = 7.3276 Å, c = 7.3276 Å
α = 90.00°, β = 90.00°, γ = 90.00°
With the nearest neighbours (Å) after each atom.
Space group Fm-3m (No. 225)
Inequivalent atoms, fractional coordinates:
Pt (0.0000, 0.0000, 0.0000) [4 per cell]  8 Br 3.17
I (0.0000, 0.0000, 0.5000) [4 per cell]  8 Br 3.17
Br (0.2500, 0.2500, 0.2500) [8 per cell]  4 I 3.17, 4 Pt 3.17


Dy2WN4: relaxed, PBE.

Calculated values
ΔE_f (raw), eV/atom: -1.12

a = 5.8009 Å, b = 5.9620 Å, c = 6.5754 Å
α = 90.00°, β = 107.92°, γ = 90.00°
With the nearest neighbours (Å) after each atom.
Space group P2_1/m (No. 11)
Inequivalent atoms, fractional coordinates:
Dy (0.1688, 0.2500, 0.0254) [2 per cell]  4 N 2.32-2.44
Dy (0.2505, 0.2500, 0.5585) [2 per cell]  4 N 2.31-2.50
W (0.2809, 0.7500, 0.8117) [2 per cell]  4 N 1.84-1.91
N (0.0507, 0.5102, 0.7514) [4 per cell]  1 W 1.91
N (0.4723, 0.7500, 0.0931) [2 per cell]  1 W 1.84
N (0.4948, 0.7500, 0.6514) [2 per cell]  1 W 1.86


PaPd2Pt8: relaxed, PBE.

Calculated values
Total DFT energy (no corrections), eV/atom: -6.62
D(E_F), states/eV/f.u.: 12.3

a = 4.9611 Å, b = 5.0069 Å, c = 7.4802 Å
α = 83.69°, β = 89.39°, γ = 80.27°
With the nearest neighbours (Å) after each atom.
Space group P-1 (No. 2)
Inequivalent atoms, fractional coordinates:
Pa (0.0000, 0.0000, 0.0000) [1 per cell]  2 Pd 2.83, 10 Pt 2.84-2.95
Pd (0.3689, 0.8283, 0.7282) [2 per cell]  11 Pt 2.83-2.91, 1 Pa 2.83
Pt (0.0909, 0.4423, 0.1868) [2 per cell]  8 Pt 2.80-2.91, 2 Pd 2.84-2.88, 2 Pa 2.84-2.95
Pt (0.1830, 0.8993, 0.3676) [2 per cell]  8 Pt 2.81-2.92, 3 Pd 2.83-2.90, 1 Pa 2.87
Pt (0.2701, 0.3685, 0.5467) [2 per cell]  9 Pt 2.80-2.92, 3 Pd 2.86-2.91
Pt (0.4519, 0.2813, 0.9057) [2 per cell]  7 Pt 2.81-2.97, 3 Pd 2.84-2.88, 2 Pa 2.88-2.90


DyThSc4: relaxed, PBE.

Calculated values
Total DFT energy (no corrections), eV/atom: -6.19
D(E_F), states/eV/f.u.: 9.5

a = 6.5726 Å, b = 18.4172 Å, c = 5.3067 Å
α = 90.00°, β = 90.00°, γ = 90.00°
With the nearest neighbours (Å) after each atom.
Space group Cmcm (No. 63)
Inequivalent atoms, fractional coordinates:
Dy (0.0000, 0.1255, 0.2500) [4 per cell]  2 Th 3.29, 12 Sc 3.47-3.49
Th (0.0000, 0.3744, 0.7500) [4 per cell]  2 Dy 3.29, 12 Sc 3.46-3.49
Sc (0.2494, 0.2088, 0.7500) [8 per cell]  5 Sc 3.06-3.29
Sc (0.2497, 0.0418, 0.7500) [8 per cell]  5 Sc 3.07-3.29


LiFeTe2: relaxed, PBE.

Calculated values
ΔE_f (raw), eV/atom: -0.02
D(E_F), states/eV/f.u.: 2.7

a = 3.3993 Å, b = 3.3993 Å, c = 7.3279 Å
α = 90.00°, β = 90.00°, γ = 90.00°
With the nearest neighbours (Å) after each atom.
Space group P4/mmm (No. 123)
Inequivalent atoms, fractional coordinates:
Li (0.0000, 0.0000, 0.0000) [1 per cell]  8 Te 3.14, 4 Li 3.40
Fe (0.0000, 0.0000, 0.5000) [1 per cell]  8 Te 2.91
Te (0.5000, 0.5000, 0.2758) [2 per cell]  4 Fe 2.91, 4 Li 3.14


Tb5YPd2: relaxed, PBE.

Calculated values
Total DFT energy (no corrections), eV/atom: -5.37
D(E_F), states/eV/f.u.: 8.1

a = 3.8318 Å, b = 12.7978 Å, c = 18.1838 Å
α = 90.00°, β = 90.00°, γ = 90.00°
With the nearest neighbours (Å) after each atom.
Space group Cmcm (No. 63)
Inequivalent atoms, fractional coordinates:
Tb (0.0000, 0.0532, 0.1040) [8 per cell]  2 Pd 3.18, 6 Tb 3.37-3.54
Tb (0.0000, 0.3458, 0.0437) [8 per cell]  2 Pd 2.78
Tb (0.0000, 0.3845, 0.7500) [4 per cell]  2 Pd 2.76
Y (0.0000, 0.3497, 0.2500) [4 per cell]  4 Pd 3.18, 1 Tb 3.40
Pd (0.0000, 0.2519, 0.6304) [8 per cell]  3 Tb 2.76-2.78


| no. | volume (Å³ per cell) |
| --- | --- |
| 1 | 386.9 |
| 2 | 271.0 |
| 3 | 393.4 |
| 4 | 216.4 |
| 5 | 182.0 |
| 6 | 642.4 |
| 7 | 84.7 |
| 8 | 891.7 |